# 1
DFT (PBE) results for a relaxed structure of Ti3VRe.

Calculated values
E_form in eV per atom: 0.864
Relative energy among the computed polymorphs in eV per atom: 0.000
Total energy in eV/cell: -40.93
Crystal system: cubic
Space group: Pm-3m (221)

abc: 4.7371 4.7371 4.7371
angles: 90.00 90.00 90.00
Last column: nearest neighbours and their distance in Å.
Atoms (fractional coordinates):
Ti 0.0000 0.0000 0.5000  2 Re 2.37
Ti 0.0000 0.5000 0.0000  2 Re 2.37
Ti 0.5000 0.0000 0.0000  2 Re 2.37
V 0.5000 0.5000 0.5000  12 Ti 3.35
Re 0.0000 0.0000 0.0000  6 Ti 2.37



# 2
DFT (PBE) results for a relaxed structure of LiSn3Ir2.

Calculated values
E_form in eV per atom: -0.009
Total energy in eV/cell: -63.40
Crystal system: trigonal
Space group: P-3m1 (164)

abc: 6.3262 6.3262 6.7247
angles: 90.00 90.00 120.00
Last column: nearest neighbours and their distance in Å.
Atoms (fractional coordinates):
Li 0.3333 0.6667 0.2923  3 Ir 2.68
Li 0.6667 0.3333 0.7077  3 Ir 2.68
Sn 0.1706 0.3411 0.6968  3 Ir 2.72-2.77
Sn 0.1706 0.8294 0.6968  3 Ir 2.72-2.77
Sn 0.3411 0.1706 0.3032  3 Ir 2.72-2.77
Sn 0.6589 0.8294 0.6968  3 Ir 2.72-2.77
Sn 0.8294 0.1706 0.3032  3 Ir 2.72-2.77
Sn 0.8294 0.6589 0.3032  3 Ir 2.72-2.77
Ir 0.0000 0.0000 0.0000  6 Sn 2.77
Ir 0.0000 0.5000 0.0000  2 Li 2.68, 4 Sn 2.72
Ir 0.5000 0.0000 0.0000  2 Li 2.68, 4 Sn 2.72
Ir 0.5000 0.5000 0.0000  2 Li 2.68, 4 Sn 2.72



# 3
DFT (PBE) results for a relaxed structure of PaNbGaO6.

Calculated values
Formation energy (no corrections) in eV/atom: -2.494
Total energy in eV/cell: -149.57
Crystal system: trigonal
Space group: P-31c (163)

abc: 5.4891 5.4891 8.8086
angles: 90.00 90.00 120.00
Last column: nearest neighbours and their distance in Å.
Atoms (fractional coordinates):
Pa 0.3333 0.6667 0.2500  6 O 2.21
Pa 0.6667 0.3333 0.7500  6 O 2.21
Nb 0.3333 0.6667 0.7500  6 O 2.06
Nb 0.6667 0.3333 0.2500  6 O 2.06
Ga 0.0000 0.0000 0.0000  6 O 2.14
Ga 0.0000 0.0000 0.5000  6 O 2.14
O 0.0211 0.3416 0.6273  1 Nb 2.06, 1 Ga 2.14, 1 Pa 2.21
O 0.0211 0.6795 0.8727  1 Nb 2.06, 1 Ga 2.14, 1 Pa 2.21
O 0.3205 0.3416 0.8727  1 Nb 2.06, 1 Ga 2.14, 1 Pa 2.21
O 0.3205 0.9789 0.6273  1 Nb 2.06, 1 Ga 2.14, 1 Pa 2.21
O 0.3416 0.0211 0.1273  1 Nb 2.06, 1 Ga 2.14, 1 Pa 2.21
O 0.3416 0.3205 0.3727  1 Nb 2.06, 1 Ga 2.14, 1 Pa 2.21
O 0.6584 0.6795 0.6273  1 Nb 2.06, 1 Ga 2.14, 1 Pa 2.21
O 0.6584 0.9789 0.8727  1 Nb 2.06, 1 Ga 2.14, 1 Pa 2.21
O 0.6795 0.0211 0.3727  1 Nb 2.06, 1 Ga 2.14, 1 Pa 2.21
O 0.6795 0.6584 0.1273  1 Nb 2.06, 1 Ga 2.14, 1 Pa 2.21
O 0.9789 0.3205 0.1273  1 Nb 2.06, 1 Ga 2.14, 1 Pa 2.21
O 0.9789 0.6584 0.3727  1 Nb 2.06, 1 Ga 2.14, 1 Pa 2.21



# 4
DFT (PBE) results for a relaxed structure of GdErZnSi.

Calculated values
Formation energy (no corrections) in eV/atom: -0.459
Total energy in eV/cell: -27.18
Crystal system: cubic
Space group: F-43m (216)

abc: 4.9754 4.9754 4.9754
angles: 60.00 60.00 60.00
Last column: nearest neighbours and their distance in Å.
Atoms (fractional coordinates):
Gd 0.0000 0.0000 0.0000  4 Si 3.05, 4 Zn 3.05
Er 0.5000 0.5000 0.5000  4 Zn 3.05, 4 Si 3.05
Zn 0.2500 0.2500 0.2500  4 Gd 3.05, 4 Er 3.05
Si 0.7500 0.7500 0.7500  4 Gd 3.05, 4 Er 3.05



# 5
DFT (PBE) results for a relaxed structure of Ce2Mn12Si7.

Calculated values
Formation energy (no corrections) in eV/atom: -0.378
Total energy in eV/cell: -167.80
Crystal system: hexagonal
Space group: P-6 (174)

abc: 9.7324 9.7324 3.5387
angles: 90.00 90.00 120.00
Last column: nearest neighbours and their distance in Å.
Atoms (fractional coordinates):
Ce 0.0000 0.0000 0.0000  6 Si 2.92, 6 Mn 3.09
Ce 0.3333 0.6667 0.5000  6 Si 2.96, 6 Mn 3.07
Mn 0.0450 0.7654 0.5000  4 Si 2.38-2.45, 2 Mn 2.62
Mn 0.1042 0.3871 0.0000  4 Si 2.35-2.48
Mn 0.2346 0.2796 0.5000  4 Si 2.38-2.45, 2 Mn 2.62
Mn 0.2829 0.8958 0.0000  4 Si 2.35-2.48
Mn 0.3903 0.2110 0.0000  4 Si 2.33-2.38
Mn 0.5408 0.1119 0.5000  5 Si 2.50-2.58, 4 Mn 2.76-2.79
Mn 0.5712 0.4592 0.5000  5 Si 2.50-2.58, 4 Mn 2.76-2.79
Mn 0.6129 0.7171 0.0000  4 Si 2.35-2.48
Mn 0.7204 0.9550 0.5000  4 Si 2.38-2.45, 2 Mn 2.62
Mn 0.7890 0.1793 0.0000  4 Si 2.33-2.38
Mn 0.8207 0.6097 0.0000  4 Si 2.33-2.38
Mn 0.8881 0.4288 0.5000  5 Si 2.50-2.58, 4 Mn 2.76-2.79
Si 0.0680 0.6149 0.0000  7 Mn 2.38-2.51
Si 0.2554 0.0389 0.5000  7 Mn 2.34-2.50
Si 0.3851 0.4531 0.0000  7 Mn 2.38-2.51
Si 0.5469 0.9320 0.0000  7 Mn 2.38-2.51
Si 0.6667 0.3333 0.0000  9 Mn 2.33-2.58
Si 0.7835 0.7446 0.5000  7 Mn 2.34-2.50
Si 0.9611 0.2165 0.5000  7 Mn 2.34-2.50



# 6
DFT (PBE) results for a relaxed structure of ZrScSe3.

Calculated values
Formation energy (no corrections) in eV/atom: -1.494
Relative energy among the computed polymorphs in eV per atom: 0.001
Total energy in eV/cell: -65.61
Crystal system: monoclinic
Space group: C2/m (12)

abc: 6.6537 6.6537 6.6262
angles: 99.71 99.71 120.49
Last column: nearest neighbours and their distance in Å.
Atoms (fractional coordinates):
Zr 0.1624 0.8376 0.0000  6 Se 2.69-2.76
Zr 0.8376 0.1624 0.0000  6 Se 2.69-2.76
Sc 0.3332 0.6668 0.5000  6 Se 2.69-2.73
Sc 0.6668 0.3332 0.5000  6 Se 2.69-2.73
Se 0.0867 0.4154 0.7500  2 Sc 2.70-2.73, 2 Zr 2.71-2.76
Se 0.2541 0.2541 0.2529  2 Sc 2.69, 2 Zr 2.69
Se 0.4154 0.0867 0.7500  2 Sc 2.70-2.73, 2 Zr 2.71-2.76
Se 0.5846 0.9133 0.2500  2 Sc 2.70-2.73, 2 Zr 2.71-2.76
Se 0.7459 0.7459 0.7471  2 Sc 2.69, 2 Zr 2.69
Se 0.9133 0.5846 0.2500  2 Sc 2.70-2.73, 2 Zr 2.71-2.76



# 7
DFT (PBE) results for a relaxed structure of ScAlRh.

Calculated values
E_form in eV per atom: -0.779
Total energy in eV/cell: -19.76
Crystal system: hexagonal
Space group: P-6m2 (187)

abc: 4.3729 4.3729 3.0997
angles: 90.00 90.00 120.00
Last column: nearest neighbours and their distance in Å.
Atoms (fractional coordinates):
Sc 0.0000 0.0000 0.0000  6 Al 2.96, 6 Rh 2.96, 2 Sc 3.10
Al 0.6667 0.3333 0.5000  3 Rh 2.52
Rh 0.3333 0.6667 0.5000  3 Al 2.52



# 8
DFT (PBE) results for a relaxed structure of TaCoBr2.

Calculated values
Formation energy (no corrections) in eV/atom: 0.431
Relative energy among the computed polymorphs in eV per atom: 0.706
Total energy in eV/cell: -20.58
Crystal system: trigonal
Space group: R-3m (166)

abc: 8.7260 8.7260 8.7260
angles: 21.34 21.34 21.34
Last column: nearest neighbours and their distance in Å.
Atoms (fractional coordinates):
Ta 0.0000 0.0000 0.0000  6 Br 2.69
Co 0.5000 0.5000 0.5000  2 Br 2.32
Br 0.4092 0.4092 0.4092  1 Co 2.32
Br 0.5908 0.5908 0.5908  1 Co 2.32



Q: Which of these has the highest total energy?
A: ScAlRh